The following is a PBE calculation of an optimized crystal structure of Ta2InW, from the Alexandria database.

As for the crystal system: trigonal. The formation enthalpy at 0 K is 0.4340 eV per atom. For the total energy, the calculation gives -9.4152 eV/atom. The value obtained for the theoretical density is 14.7 g cm⁻³.

Cell lengths 10.153, 10.153, 10.153 Å; angles 16.63, 16.63, 16.63 degrees
Element x y z (fractional)
Ta (0.000, 0.000, 0.000)
Ta (0.249, 0.249, 0.249)
In (0.752, 0.752, 0.752)
W (0.501, 0.501, 0.501)